Material: Ho2HfSn
Method: DFT, GGA-PBE
State: optimized geometry

Geometry as CIF:
```
data_Ho2HfSn
_cell_length_a 3.4365
_cell_length_b 3.4365
_cell_length_c 31.3369
_cell_angle_alpha 90.00
_cell_angle_beta 90.00
_cell_angle_gamma 120.00
_symmetry_space_group_name_H-M 'R -3 m'
_symmetry_Int_Tables_number 166
_symmetry_space_group_name_Hall '-R 3 2"'
loop_
_atom_site_label
_atom_site_fract_x
_atom_site_fract_y
_atom_site_fract_z
_atom_site_occupancy
Ho1 0.0000 0.0000 0.2500 1
Hf1 0.0000 0.0000 0.0000 1
Sn1 0.0000 0.0000 0.5000 1
```

Calculated values
Energy above the lowest structure with this stoichiometry ... 0.43 eV per formula unit
Theoretical density ... 9.7 g/cm3
Total DFT energy (no corrections) ... -71.235 eV per cell
Total magnetic moment ... 0.0 μB/cell